Entry from Alexandria via LeMat-Bulk: a relaxed Tc2RuAu crystal (PBE-GGA).

Cell lengths 4.8336, 4.8336, 4.7617 Å; angles 99.91, 99.91, 33.68 degrees
Last column: nearest neighbours and their distance in Å.
Fractional coordinates of all 4 atoms:
Tc 0.2433 0.2433 0.2262  4 Tc 2.59-2.80, 3 Ru 2.71-2.78, 3 Au 2.80-2.86
Tc 0.7567 0.7567 0.7738  4 Tc 2.59-2.80, 3 Ru 2.71-2.78, 3 Au 2.80-2.86
Ru 0.5000 0.5000 0.0000  6 Tc 2.71-2.78, 4 Au 2.76, 2 Ru 2.80
Au 0.0000 0.0000 0.5000  4 Ru 2.76, 6 Tc 2.80-2.86, 2 Au 2.80

Properties
SG = C2/m, No. 12
Calculated volume = 60.7 Å³/cell
Magnetic moment = 0.00 μB/cell
ΔE to the lowest computed polymorph = 0.069 eV/atom
Calculated total energy = -32.26 eV per cell